Entry 1:
Computed, not measured: a relaxed structure of Re2HgW at the GGA-PBE level of DFT.

Cell lengths 3.171, 4.596, 4.505 Å; angles 90.00, 90.00, 90.00 degrees
Fractional positions:
Hg: 0.000 0.500 0.500
Re: 0.000 0.000 0.000
Re: 0.500 0.500 0.000
W: 0.500 0.000 0.500

**VASP energy**: -8.671 eV/atom

---

Entry 2:
Computed, not measured: a relaxed structure of SmYHoTm3 at the GGA-PBE level of DFT.

Cell lengths 4.994, 7.899, 9.985 Å; angles 90.00, 90.00, 108.43 degrees
Fractional positions:
Sm: 0.501 0.002 0.750
Sm: 0.499 0.998 0.250
Y: 0.832 0.665 0.750
Y: 0.168 0.335 0.250
Ho: 0.000 0.000 0.500
Ho: 0.000 0.000 0.000
Tm: 0.667 0.334 0.500
Tm: 0.333 0.666 0.500
Tm: 0.333 0.666 0.000
Tm: 0.667 0.334 0.000
Tm: 0.167 0.334 0.750
Tm: 0.833 0.666 0.250

**VASP energy**: -4.837 eV/atom

---

Entry 3:
Computed, not measured: a relaxed structure of Nd2SmSe at the GGA-PBE level of DFT.

Cell lengths 3.894, 3.894, 10.089 Å; angles 78.87, 78.87, 60.00 degrees
Fractional positions:
Nd: 0.267 0.267 0.198
Nd: 0.733 0.733 0.802
Se: 0.000 0.000 0.000
Sm: 0.500 0.500 0.500

**Raw formation energy**: -0.79 eV/atom
**Polymorph energy (0 for the lowest one)**: 1.34 kJ/mol of atoms

---

Entry 4:
Computed, not measured: a relaxed structure of Sn2TeRh2 at the GGA-PBE level of DFT.

Cell lengths 4.559, 4.559, 6.231 Å; angles 68.54, 68.54, 90.00 degrees
Fractional positions:
Te: 0.000 0.000 0.000
Rh: 0.750 0.250 0.500
Rh: 0.250 0.750 0.500
Sn: 0.372 0.372 0.256
Sn: 0.628 0.628 0.744

**Raw formation energy**: -0.04 eV/atom
**Polymorph energy (0 for the lowest one)**: 19.99 kJ/mol of atoms

---

Entry 5:
Computed, not measured: a relaxed structure of TlAgMoCl6 at the GGA-PBE level of DFT.

Cell lengths 6.899, 6.899, 6.651 Å; angles 90.00, 90.00, 59.99 degrees
Site moments in Bohr magnetons follow the coordinates.
Fractional positions:
Tl: 0.000 0.000 0.000  0.00
Ag: 0.667 0.667 0.500  -0.01
Mo: 0.333 0.333 0.500  1.71
Cl: 0.039 0.352 0.292  0.00
Cl: 0.352 0.039 0.708  0.00
Cl: 0.608 0.352 0.708  0.00
Cl: 0.039 0.608 0.708  0.00
Cl: 0.352 0.608 0.292  0.00
Cl: 0.608 0.039 0.292  0.00

**Raw formation energy**: -0.80 eV/atom

---

Entry 6:
Computed, not measured: a relaxed structure of PCSe2 at the GGA-PBE level of DFT.

Cell lengths 8.123, 8.123, 8.123 Å; angles 22.30, 22.30, 22.30 degrees
Fractional positions:
P: 0.000 0.000 0.000
C: 0.500 0.500 0.500
Se: 0.893 0.893 0.893
Se: 0.107 0.107 0.107

**Raw formation energy**: 1.38 eV/atom
**Polymorph energy (0 for the lowest one)**: 24.24 kJ/mol of atoms

---

Which formula does entry 6 have?
PCSe2